No. 1
Density functional theory data (GGA-PBE) for an optimized crystal structure of SiAs2Rh.

abc: 4.2038 4.2038 7.3288
angles: 90.00 90.00 90.00
Space group I-4m2 (No. 119)
One atom of each set of equivalent atoms:
Si  0.0000  0.0000  0.0000 [2 per cell]
As  0.0000  0.0000  0.5000 [2 per cell]
As  0.0000  0.5000  0.7500 [2 per cell]
Rh  0.0000  0.5000  0.2500 [2 per cell]

## Properties
Its magnetization is 0.00 μB per formula unit.

=====

No. 2
Density functional theory data (GGA-PBE) for an optimized crystal structure of SiAs2Rh.

abc: 4.2742 4.7205 7.1329
angles: 90.00 90.00 90.00
Space group Amm2 (No. 38)
One atom of each set of equivalent atoms:
Si  0.0000  0.0000  0.0000 [2 per cell]
As  0.0000  0.0000  0.6315 [2 per cell]
As  0.5000  0.0000  0.2042 [2 per cell]
Rh  0.5000  0.0000  0.8305 [2 per cell]

## Properties
Its magnetization is 0.00 μB per formula unit.

=====

No. 3
Density functional theory data (GGA-PBE) for an optimized crystal structure of SiAs2Rh.

abc: 3.0200 3.0200 26.9909
angles: 90.00 90.00 120.00
Space group R3m (No. 160, hexagonal axes)
One atom of each set of equivalent atoms:
Si  0.0000  0.0000  0.0000 [3 per cell]
As  0.0000  0.0000  0.5303 [3 per cell]
As  0.0000  0.0000  0.7388 [3 per cell]
Rh  0.0000  0.0000  0.2656 [3 per cell]

## Properties
Its magnetization is 0.00 μB per formula unit.

=====

No. 4
Density functional theory data (GGA-PBE) for an optimized crystal structure of SiAsRh3.

abc: 4.5424 4.5424 4.5424
angles: 90.00 90.00 90.00
Space group Pm-3m (No. 221)
One atom of each set of equivalent atoms:
Si  0.0000  0.0000  0.0000 [1 per cell]
As  0.5000  0.5000  0.5000 [1 per cell]
Rh  0.0000  0.5000  0.5000 [3 per cell]

## Properties
Its magnetization is 0.01 μB per formula unit.

=====

Number 1: formation energy (no corrections) 0.20 eV per atom, density of states at the Fermi level 1.74 states/eV/f.u.. Number 2: formation energy (no corrections) -0.17 eV per atom, density of states at the Fermi level 1.80 states/eV/f.u.. Number 3: formation energy (no corrections) -0.04 eV per atom, density of states at the Fermi level 2.14 states/eV/f.u.. Number 4: formation energy (no corrections) 0.63 eV per atom, density of states at the Fermi level 10.82 states/eV/f.u..